Density functional theory data (PBEsol) for a relaxed structure of Hf2Si.

Lattice parameters (Å, degrees): 5.1357 5.2683 5.2683 76.26 60.83 60.83
Atoms (fractional coordinates):
Si 0.7500 0.0000 0.0000
Si 0.2500 0.0000 0.0000
Hf 0.3434 0.8133 0.5000
Hf 0.6566 0.1867 0.5000
Hf 0.1566 0.5000 0.1867
Hf 0.8434 0.5000 0.8133

E ... -0.357 hartree per atom
V ... 108.7 Å³/cell
M_tot ... 0.0 Bohr magnetons per cell